1.
The following is a GGA-PBE calculation of Pr4Nd15Sc after structural relaxation, from Alexandria via LeMat-Bulk.

Calculated values
Spin magnetization (μB per atom): 0.00
Calculated density (Mg/m³): 6.585
Formation energy from the elements (meV/atom): 20.0
Raw total energy (eV/atom): -4.83

Cell lengths 5.1961, 5.1961, 25.8918 Å; angles 90.00, 90.00, 90.00 degrees
With the nearest neighbours (Å) after each atom.
Sites, in units of the cell vectors:
Pr 0.0000 0.0000 0.1013  12 Nd 3.67-3.69
Pr 0.0000 0.0000 0.3036  12 Nd 3.67-3.69
Pr 0.0000 0.0000 0.6964  12 Nd 3.67-3.69
Pr 0.0000 0.0000 0.8987  12 Nd 3.67-3.69
Nd 0.0000 0.5000 0.0000  8 Nd 3.67-3.69, 4 Pr 3.69
Nd 0.0000 0.5000 0.2024  8 Nd 3.67-3.70, 4 Pr 3.69
Nd 0.0000 0.5000 0.4048  8 Nd 3.58-3.68, 2 Sc 3.58, 2 Pr 3.69
Nd 0.0000 0.5000 0.5952  8 Nd 3.58-3.68, 2 Sc 3.58, 2 Pr 3.69
Nd 0.0000 0.5000 0.7976  8 Nd 3.67-3.70, 4 Pr 3.69
Nd 0.5000 0.0000 0.0000  8 Nd 3.67-3.69, 4 Pr 3.69
Nd 0.5000 0.0000 0.2024  8 Nd 3.67-3.70, 4 Pr 3.69
Nd 0.5000 0.0000 0.4048  8 Nd 3.58-3.68, 2 Sc 3.58, 2 Pr 3.69
Nd 0.5000 0.0000 0.5952  8 Nd 3.58-3.68, 2 Sc 3.58, 2 Pr 3.69
Nd 0.5000 0.0000 0.7976  8 Nd 3.67-3.70, 4 Pr 3.69
Nd 0.5000 0.5000 0.1011  4 Pr 3.67, 8 Nd 3.69
Nd 0.5000 0.5000 0.3039  4 Pr 3.67, 8 Nd 3.68-3.70
Nd 0.5000 0.5000 0.5000  8 Nd 3.58, 4 Sc 3.67
Nd 0.5000 0.5000 0.6961  4 Pr 3.67, 8 Nd 3.68-3.70
Nd 0.5000 0.5000 0.8989  4 Pr 3.67, 8 Nd 3.69
Sc 0.0000 0.0000 0.5000  12 Nd 3.58-3.67


2.
The following is a GGA-PBE calculation of Pr12Nd5Sc2 after structural relaxation, from Alexandria via LeMat-Bulk.

Calculated values
Energy relative to the lowest polymorph listed for this composition (meV per atom): 26
Spin magnetization (μB per atom): 0.00
Calculated density (Mg/m³): 6.207
Formation energy from the elements (meV/atom): 167.0
Raw total energy (eV/atom): -4.77

Cell lengths 10.1918, 10.1918, 9.7834 Å; angles 111.51, 111.51, 45.90 degrees
With the nearest neighbours (Å) after each atom.
Sites, in units of the cell vectors:
Pr 0.0148 0.0148 0.1794  5 Pr 3.28-3.58, 2 Sc 3.54
Pr 0.1011 0.5882 0.0198  4 Pr 3.42-3.79, 4 Nd 3.57-3.75
Pr 0.1188 0.5781 0.6358  4 Pr 3.28-3.65, 2 Nd 3.58-3.66, 1 Sc 3.67
Pr 0.4118 0.8989 0.9802  4 Pr 3.42-3.79, 4 Nd 3.57-3.75
Pr 0.4219 0.8812 0.3642  4 Pr 3.28-3.65, 2 Nd 3.58-3.66, 1 Sc 3.67
Pr 0.4794 0.4794 0.3165  2 Sc 3.09, 2 Nd 3.27-3.45, 1 Pr 3.36
Pr 0.5206 0.5206 0.6835  2 Sc 3.09, 2 Nd 3.27-3.45, 1 Pr 3.36
Pr 0.5781 0.1188 0.6358  4 Pr 3.28-3.65, 2 Nd 3.58-3.66, 1 Sc 3.67
Pr 0.5882 0.1011 0.0198  4 Pr 3.42-3.79, 4 Nd 3.57-3.75
Pr 0.8812 0.4219 0.3642  4 Pr 3.28-3.65, 2 Nd 3.58-3.66, 1 Sc 3.67
Pr 0.8989 0.4118 0.9802  4 Pr 3.42-3.79, 4 Nd 3.57-3.75
Pr 0.9852 0.9852 0.8206  5 Pr 3.28-3.58, 2 Sc 3.54
Nd 0.1873 0.1873 0.6952  2 Sc 3.55, 8 Pr 3.69-3.88
Nd 0.2913 0.2913 0.2934  9 Pr 3.45-3.75
Nd 0.5000 0.5000 0.0000  6 Pr 3.27-3.57
Nd 0.7087 0.7087 0.7066  9 Pr 3.45-3.75
Nd 0.8127 0.8127 0.3048  2 Sc 3.55, 8 Pr 3.69-3.88
Sc 0.1740 0.8260 0.5000  1 Sc 2.77, 2 Pr 3.09
Sc 0.8260 0.1740 0.5000  1 Sc 2.77, 2 Pr 3.09


3.
The following is a GGA-PBE calculation of PrNd9Sc2 after structural relaxation, from Alexandria via LeMat-Bulk.

Calculated values
Spin magnetization (μB per atom): 0.00
Calculated density (Mg/m³): 6.346
Formation energy from the elements (meV/atom): 35.4
Raw total energy (eV/atom): -4.99

Cell lengths 5.1041, 5.1041, 15.3575 Å; angles 90.00, 90.00, 90.00 degrees
With the nearest neighbours (Å) after each atom.
Sites, in units of the cell vectors:
Pr 0.0000 0.0000 0.0000  12 Nd 3.61-3.69
Nd 0.0000 0.5000 0.1735  2 Sc 3.58, 8 Nd 3.59-3.69, 2 Pr 3.69
Nd 0.0000 0.5000 0.5000  8 Nd 3.57-3.61, 4 Sc 3.58
Nd 0.0000 0.5000 0.8265  2 Sc 3.58, 8 Nd 3.59-3.69, 2 Pr 3.69
Nd 0.5000 0.0000 0.1735  2 Sc 3.58, 8 Nd 3.59-3.69, 2 Pr 3.69
Nd 0.5000 0.0000 0.5000  8 Nd 3.57-3.61, 4 Sc 3.58
Nd 0.5000 0.0000 0.8265  2 Sc 3.58, 8 Nd 3.59-3.69, 2 Pr 3.69
Nd 0.5000 0.5000 0.0000  4 Pr 3.61, 8 Nd 3.69
Nd 0.5000 0.5000 0.3378  8 Nd 3.57-3.59, 4 Sc 3.61
Nd 0.5000 0.5000 0.6622  8 Nd 3.57-3.59, 4 Sc 3.61
Sc 0.0000 0.0000 0.3367  12 Nd 3.58-3.61
Sc 0.0000 0.0000 0.6633  12 Nd 3.58-3.61


4.
The following is a GGA-PBE calculation of Pr7Nd2Sc2 after structural relaxation, from Alexandria via LeMat-Bulk.

Calculated values
Energy relative to the lowest polymorph listed for this composition (meV per atom): 25
Spin magnetization (μB per atom): 0.00
Calculated density (Mg/m³): 5.992
Formation energy from the elements (meV/atom): 133.7
Raw total energy (eV/atom): -4.93

Cell lengths 6.9302, 6.9302, 8.3402 Å; angles 98.30, 98.30, 103.79 degrees
With the nearest neighbours (Å) after each atom.
Sites, in units of the cell vectors:
Pr 0.0000 0.0000 0.0000  2 Nd 3.57, 10 Pr 3.72-3.99
Pr 0.0850 0.5109 0.8210  2 Sc 3.34-3.51, 2 Nd 3.35-3.64, 3 Pr 3.37-3.72
Pr 0.1988 0.1988 0.4787  4 Sc 3.43-3.60, 2 Nd 3.44-3.77, 3 Pr 3.50-3.62
Pr 0.4891 0.9150 0.1790  2 Sc 3.34-3.51, 2 Nd 3.35-3.64, 3 Pr 3.37-3.72
Pr 0.5109 0.0850 0.8210  2 Sc 3.34-3.51, 2 Nd 3.35-3.64, 3 Pr 3.37-3.72
Pr 0.8012 0.8012 0.5213  4 Sc 3.43-3.60, 2 Nd 3.44-3.77, 3 Pr 3.50-3.62
Pr 0.9150 0.4891 0.1790  2 Sc 3.34-3.51, 2 Nd 3.35-3.64, 3 Pr 3.37-3.72
Nd 0.4213 0.4213 0.1838  6 Pr 3.35-3.64, 2 Sc 3.45, 1 Nd 3.63
Nd 0.5787 0.5787 0.8162  6 Pr 3.35-3.64, 2 Sc 3.45, 1 Nd 3.63
Sc 0.2883 0.7117 0.5000  8 Pr 3.34-3.60, 2 Nd 3.45
Sc 0.7117 0.2883 0.5000  8 Pr 3.34-3.60, 2 Nd 3.45


5.
The following is a GGA-PBE calculation of Pr8NdSc2 after structural relaxation, from Alexandria via LeMat-Bulk.

Calculated values
Energy relative to the lowest polymorph listed for this composition (meV per atom): 34
Spin magnetization (μB per atom): 0.00
Calculated density (Mg/m³): 5.976
Formation energy from the elements (meV/atom): 152.9
Raw total energy (eV/atom): -4.91

Cell lengths 9.3663, 9.3663, 5.9861 Å; angles 105.04, 105.04, 121.68 degrees
With the nearest neighbours (Å) after each atom.
Sites, in units of the cell vectors:
Pr 0.0965 0.3378 0.6718  6 Pr 3.35-3.74, 2 Sc 3.44-3.52
Pr 0.2085 0.7915 0.0000  1 Nd 3.41, 2 Sc 3.42, 6 Pr 3.60-3.74
Pr 0.3378 0.0965 0.6718  6 Pr 3.35-3.74, 2 Sc 3.44-3.52
Pr 0.4196 0.4196 0.2054  3 Pr 3.01-3.35, 1 Nd 3.34
Pr 0.5804 0.5804 0.7946  3 Pr 3.01-3.35, 1 Nd 3.34
Pr 0.6622 0.9035 0.3282  6 Pr 3.35-3.74, 2 Sc 3.44-3.52
Pr 0.7915 0.2085 0.0000  1 Nd 3.41, 2 Sc 3.42, 6 Pr 3.60-3.74
Pr 0.9035 0.6622 0.3282  6 Pr 3.35-3.74, 2 Sc 3.44-3.52
Nd 0.0000 0.0000 0.0000  4 Pr 3.34-3.41
Sc 0.3098 0.6902 0.5000  8 Pr 3.42-3.52
Sc 0.6902 0.3098 0.5000  8 Pr 3.42-3.52


6.
The following is a GGA-PBE calculation of Pr5Nd4Sc2 after structural relaxation, from Alexandria via LeMat-Bulk.

Calculated values
Energy relative to the lowest polymorph listed for this composition (meV per atom): 139
Spin magnetization (μB per atom): 0.00
Calculated density (Mg/m³): 5.913
Formation energy from the elements (meV/atom): 247.7
Raw total energy (eV/atom): -4.81

Cell lengths 12.3770, 12.3770, 12.3770 Å; angles 163.72, 133.47, 49.62 degrees
With the nearest neighbours (Å) after each atom.
Sites, in units of the cell vectors:
Pr 0.0000 0.0000 0.0000  4 Nd 3.38, 2 Pr 3.51
Pr 0.0568 0.3409 0.7159  1 Sc 3.25, 2 Pr 3.51, 2 Nd 3.57
Pr 0.3750 0.6591 0.7159  1 Sc 3.25, 2 Pr 3.51, 2 Nd 3.57
Pr 0.6250 0.3409 0.2841  1 Sc 3.25, 2 Pr 3.51, 2 Nd 3.57
Pr 0.9432 0.6591 0.2841  1 Sc 3.25, 2 Pr 3.51, 2 Nd 3.57
Nd 0.2950 0.5000 0.7950  4 Pr 3.38-3.66, 6 Nd 3.44-3.51
Nd 0.4030 0.9030 0.5000  1 Sc 3.01
Nd 0.5970 0.0970 0.5000  1 Sc 3.01
Nd 0.7050 0.5000 0.2050  4 Pr 3.38-3.66, 6 Nd 3.44-3.51
Sc 0.2689 0.7689 0.5000  1 Nd 3.01, 2 Pr 3.25
Sc 0.7311 0.2311 0.5000  1 Nd 3.01, 2 Pr 3.25


7.
The following is a GGA-PBE calculation of Pr2NdSc4 after structural relaxation, from Alexandria via LeMat-Bulk.

Calculated values
Spin magnetization (μB per atom): 0.00
Calculated density (Mg/m³): 4.928
Formation energy from the elements (meV/atom): 92.1
Raw total energy (eV/atom): -5.57

Cell lengths 5.6716, 8.4091, 9.5304 Å; angles 86.17, 72.69, 70.33 degrees
With the nearest neighbours (Å) after each atom.
Sites, in units of the cell vectors:
Pr 0.0000 0.0000 0.0000  8 Sc 3.29-3.64, 1 Pr 3.51
Pr 0.0450 0.0620 0.6259  8 Sc 3.38-3.54, 2 Pr 3.51-3.52, 2 Nd 3.70-3.71
Pr 0.1819 0.5616 0.1262  8 Sc 3.36-3.52, 2 Nd 3.52, 2 Pr 3.70
Pr 0.3138 0.1227 0.2514  8 Sc 3.29-3.62, 1 Pr 3.52
Nd 0.2238 0.6219 0.7513  8 Sc 3.30-3.59, 1 Pr 3.52
Nd 0.9101 0.5011 0.5008  8 Sc 3.29-3.59, 1 Pr 3.52
Sc 0.3967 0.7055 0.3878  4 Sc 3.19-3.40, 2 Nd 3.29-3.40, 2 Pr 3.51-3.52
Sc 0.4162 0.2083 0.8853  4 Sc 3.19-3.40, 4 Pr 3.29-3.54, 1 Nd 3.55
Sc 0.4867 0.2703 0.5383  3 Sc 3.18-3.24, 3 Nd 3.30-3.49, 2 Pr 3.38-3.40
Sc 0.6075 0.8532 0.7130  3 Sc 3.18-3.24, 3 Nd 3.31-3.50, 2 Pr 3.38-3.40
Sc 0.6195 0.7668 0.0415  3 Sc 3.18-3.24, 5 Pr 3.30-3.53
Sc 0.7415 0.3557 0.2102  3 Sc 3.18-3.24, 5 Pr 3.30-3.52
Sc 0.8006 0.4176 0.8646  4 Sc 3.18-3.40, 2 Nd 3.30-3.40, 2 Pr 3.50-3.51
Sc 0.8245 0.9154 0.3662  4 Sc 3.19-3.40, 4 Pr 3.29-3.53, 1 Nd 3.56


8.
The following is a GGA-PBE calculation of Pr4Nd4Sc after structural relaxation, from Alexandria via LeMat-Bulk.

Calculated values
Spin magnetization (μB per atom): 0.00
Calculated density (Mg/m³): 6.349
Formation energy from the elements (meV/atom): 31.4
Raw total energy (eV/atom): -4.92

Cell lengths 8.1656, 8.1656, 8.1656 Å; angles 95.75, 95.75, 143.10 degrees
With the nearest neighbours (Å) after each atom.
Sites, in units of the cell vectors:
Pr 0.0000 0.3293 0.3293  1 Sc 3.61, 6 Nd 3.63-3.69, 5 Pr 3.70-3.74
Pr 0.0000 0.6707 0.6707  1 Sc 3.61, 6 Nd 3.63-3.69, 5 Pr 3.70-3.74
Pr 0.3293 0.0000 0.3293  1 Sc 3.61, 6 Nd 3.63-3.69, 5 Pr 3.70-3.74
Pr 0.6707 0.0000 0.6707  1 Sc 3.61, 6 Nd 3.63-3.69, 5 Pr 3.70-3.74
Nd 0.3366 0.3366 0.6732  4 Nd 3.58-3.73, 2 Sc 3.62, 6 Pr 3.63-3.69
Nd 0.3366 0.6634 0.0000  4 Nd 3.58-3.73, 2 Sc 3.62, 6 Pr 3.63-3.69
Nd 0.6634 0.3366 0.0000  4 Nd 3.58-3.73, 2 Sc 3.62, 6 Pr 3.63-3.69
Nd 0.6634 0.6634 0.3268  4 Nd 3.58-3.73, 2 Sc 3.62, 6 Pr 3.63-3.69
Sc 0.0000 0.0000 0.0000  4 Pr 3.61, 8 Nd 3.62


9.
The following is a GGA-PBE calculation of Pr12Nd6Sc after structural relaxation, from Alexandria via LeMat-Bulk.

Calculated values
Spin magnetization (μB per atom): 0.00
Calculated density (Mg/m³): 6.351
Formation energy from the elements (meV/atom): 123.2
Raw total energy (eV/atom): -4.73

Cell lengths 8.7949, 8.7949, 8.7949 Å; angles 89.39, 89.39, 89.39 degrees
With the nearest neighbours (Å) after each atom.
Sites, in units of the cell vectors:
Pr 0.0337 0.2828 0.9367  4 Pr 3.41-3.74, 3 Nd 3.49-3.54
Pr 0.0633 0.9663 0.7172  4 Pr 3.41-3.74, 3 Nd 3.49-3.54
Pr 0.1411 0.3138 0.4812  4 Pr 3.55-3.74, 4 Nd 3.56-3.81, 1 Sc 3.58
Pr 0.2828 0.9367 0.0337  4 Pr 3.41-3.74, 3 Nd 3.49-3.54
Pr 0.3138 0.4812 0.1411  4 Pr 3.55-3.74, 4 Nd 3.56-3.81, 1 Sc 3.58
Pr 0.4812 0.1411 0.3138  4 Pr 3.55-3.74, 4 Nd 3.56-3.81, 1 Sc 3.58
Pr 0.5188 0.8589 0.6862  4 Pr 3.55-3.74, 4 Nd 3.56-3.81, 1 Sc 3.58
Pr 0.6862 0.5188 0.8589  4 Pr 3.55-3.74, 4 Nd 3.56-3.81, 1 Sc 3.58
Pr 0.7172 0.0633 0.9663  4 Pr 3.41-3.74, 3 Nd 3.49-3.54
Pr 0.8589 0.6862 0.5188  4 Pr 3.55-3.74, 4 Nd 3.56-3.81, 1 Sc 3.58
Pr 0.9367 0.0337 0.2828  4 Pr 3.41-3.74, 3 Nd 3.49-3.54
Pr 0.9663 0.7172 0.0633  4 Pr 3.41-3.74, 3 Nd 3.49-3.54
Nd 0.2055 0.5955 0.7610  7 Pr 3.49-3.81, 1 Sc 3.54, 2 Nd 3.59
Nd 0.2390 0.7945 0.4045  7 Pr 3.49-3.81, 1 Sc 3.54, 2 Nd 3.59
Nd 0.4045 0.2390 0.7945  7 Pr 3.49-3.81, 1 Sc 3.54, 2 Nd 3.59
Nd 0.5955 0.7610 0.2055  7 Pr 3.49-3.81, 1 Sc 3.54, 2 Nd 3.59
Nd 0.7610 0.2055 0.5955  7 Pr 3.49-3.81, 1 Sc 3.54, 2 Nd 3.59
Nd 0.7945 0.4045 0.2390  7 Pr 3.49-3.81, 1 Sc 3.54, 2 Nd 3.59
Sc 0.5000 0.5000 0.5000  6 Nd 3.54, 6 Pr 3.58


10.
The following is a GGA-PBE calculation of Pr3Nd4Sc after structural relaxation, from Alexandria via LeMat-Bulk.

Calculated values
Energy relative to the lowest polymorph listed for this composition (meV per atom): 66
Spin magnetization (μB per atom): 0.00
Calculated density (Mg/m³): 6.272
Formation energy from the elements (meV/atom): 115.0
Raw total energy (eV/atom): -4.85

Cell lengths 9.0273, 9.0273, 9.0273 Å; angles 157.32, 98.05, 86.40 degrees
With the nearest neighbours (Å) after each atom.
Sites, in units of the cell vectors:
Pr 0.0000 0.0000 0.0000  6 Pr 3.55-3.89, 8 Nd 3.92
Pr 0.2629 0.7629 0.5000  6 Nd 3.48-3.66, 4 Pr 3.55-3.89, 2 Sc 3.59
Pr 0.7371 0.2371 0.5000  6 Nd 3.48-3.66, 4 Pr 3.55-3.89, 2 Sc 3.59
Nd 0.1239 0.3681 0.7558  1 Sc 3.37, 5 Nd 3.47-3.58, 3 Pr 3.48-3.66
Nd 0.3877 0.6319 0.7558  1 Sc 3.37, 5 Nd 3.47-3.58, 3 Pr 3.48-3.66
Nd 0.6123 0.3681 0.2442  1 Sc 3.37, 5 Nd 3.47-3.58, 3 Pr 3.48-3.66
Nd 0.8761 0.6319 0.2442  1 Sc 3.37, 5 Nd 3.47-3.58, 3 Pr 3.48-3.66
Sc 0.5000 0.5000 0.0000  4 Nd 3.37, 2 Sc 3.55, 4 Pr 3.59


11.
The following is a GGA-PBE calculation of Pr4Nd7Sc after structural relaxation, from Alexandria via LeMat-Bulk.

Calculated values
Energy relative to the lowest polymorph listed for this composition (meV per atom): 188
Spin magnetization (μB per atom): 0.02
Calculated density (Mg/m³): 6.320
Formation energy from the elements (meV/atom): 213.2
Raw total energy (eV/atom): -4.69

Cell lengths 8.7664, 8.7664, 9.6198 Å; angles 116.09, 116.09, 40.63 degrees
With the nearest neighbours (Å) after each atom.
Sites, in units of the cell vectors:
Pr 0.0890 0.0890 0.4610  2 Pr 3.34-3.61, 4 Nd 3.54-3.67
Pr 0.2246 0.2246 0.2550  8 Nd 3.31-3.68, 1 Pr 3.61
Pr 0.7754 0.7754 0.7450  8 Nd 3.31-3.68, 1 Pr 3.61
Pr 0.9110 0.9110 0.5390  2 Pr 3.34-3.61, 4 Nd 3.54-3.67
Nd 0.0000 0.0000 0.0000  2 Sc 3.04, 2 Pr 3.34
Nd 0.2156 0.2156 0.8921  4 Pr 3.42-3.68, 6 Nd 3.56-3.80
Nd 0.3327 0.3327 0.6486  1 Sc 3.20, 4 Pr 3.34-3.54, 1 Nd 3.59
Nd 0.4337 0.4337 0.2859  1 Pr 3.31, 1 Sc 3.40, 2 Nd 3.59-3.65
Nd 0.5663 0.5663 0.7141  1 Pr 3.31, 1 Sc 3.40, 2 Nd 3.59-3.65
Nd 0.6673 0.6673 0.3514  1 Sc 3.20, 4 Pr 3.34-3.54, 1 Nd 3.59
Nd 0.7844 0.7844 0.1079  4 Pr 3.42-3.68, 6 Nd 3.56-3.80
Sc 0.5000 0.5000 0.0000  6 Nd 3.04-3.40


12.
The following is a GGA-PBE calculation of Pr4Nd3Sc2 after structural relaxation, from Alexandria via LeMat-Bulk.

Calculated values
Energy relative to the lowest polymorph listed for this composition (meV per atom): 68
Spin magnetization (μB per atom): 0.00
Calculated density (Mg/m³): 5.993
Formation energy from the elements (meV/atom): 110.5
Raw total energy (eV/atom): -5.01

Cell lengths 3.5958, 3.5958, 26.8789 Å; angles 90.00, 90.00, 120.00 degrees
With the nearest neighbours (Å) after each atom.
Sites, in units of the cell vectors:
Pr 0.0000 0.0000 0.0000  1 Sc 3.25, 6 Pr 3.60
Pr 0.0000 0.0000 0.2273  9 Pr 3.60-3.74, 3 Nd 3.75
Pr 0.3333 0.6667 0.3431  9 Pr 3.60-3.74, 3 Nd 3.70
Pr 0.3333 0.6667 0.5739  3 Sc 3.43, 6 Pr 3.60, 3 Nd 3.76
Nd 0.0000 0.0000 0.4571  6 Nd 3.60, 6 Pr 3.70-3.76
Nd 0.3333 0.6667 0.1113  6 Nd 3.60, 6 Pr 3.64-3.75
Nd 0.3333 0.6667 0.7791  6 Sc 3.40-3.48, 6 Nd 3.60
Sc 0.0000 0.0000 0.6753  3 Pr 3.43, 3 Nd 3.48, 6 Sc 3.60
Sc 0.0000 0.0000 0.8793  1 Pr 3.25, 3 Nd 3.40, 6 Sc 3.60